Entry 1:
# Sr2AlGe2 (PBE, optimized geometry)
data_Sr2AlGe2
_cell_length_a 4.317
_cell_length_b 7.911
_cell_length_c 8.753
_cell_angle_alpha 90.00
_cell_angle_beta 104.28
_cell_angle_gamma 90.00
_space_group_name_H-M_alt 'P 1'
_space_group_IT_number 1
loop_
_space_group_symop_operation_xyz
'x,y,z'
loop_
_atom_site_label
_atom_site_type_symbol
_atom_site_fract_x
_atom_site_fract_y
_atom_site_fract_z
Sr1 Sr 0.959 0.723 0.917
Sr2 Sr 0.787 0.397 0.574
Sr3 Sr 0.213 0.897 0.426
Sr4 Sr 0.041 0.223 0.083
Al1 Al 0.413 0.078 0.826
Al2 Al 0.587 0.578 0.174
Ge1 Ge 0.439 0.422 0.877
Ge2 Ge 0.836 0.014 0.673
Ge3 Ge 0.164 0.514 0.327
Ge4 Ge 0.561 0.922 0.123
# energy of formation from the pure elements: -460 meV/atom
# total magnetic moment: 0.000 μB per cell
# uncorrected energy: -3.73 eV per atom



Entry 2:
# Nb5CoTc4 (PBE, optimized geometry)
data_Nb5CoTc4
_cell_length_a 3.189
_cell_length_b 3.189
_cell_length_c 15.742
_cell_angle_alpha 90.00
_cell_angle_beta 90.00
_cell_angle_gamma 90.00
_space_group_name_H-M_alt 'P 1'
_space_group_IT_number 1
loop_
_space_group_symop_operation_xyz
'x,y,z'
loop_
_atom_site_label
_atom_site_type_symbol
_atom_site_fract_x
_atom_site_fract_y
_atom_site_fract_z
Nb1 Nb 0.500 0.500 0.096
Nb2 Nb 0.500 0.500 0.297
Nb3 Nb 0.500 0.500 0.500
Nb4 Nb 0.500 0.500 0.703
Nb5 Nb 0.500 0.500 0.904
Co1 Co 0.000 0.000 0.000
Tc1 Tc 0.000 0.000 0.195
Tc2 Tc 0.000 0.000 0.399
Tc3 Tc 0.000 0.000 0.601
Tc4 Tc 0.000 0.000 0.805
# energy of formation from the pure elements: -278 meV/atom
# total magnetic moment: 1.608 μB per cell
# uncorrected energy: -10.17 eV per atom



Entry 3:
# BaBiO3 (PBE, optimized geometry)
data_BaBiO3
_cell_length_a 4.242
_cell_length_b 6.748
_cell_length_c 8.127
_cell_angle_alpha 79.28
_cell_angle_beta 71.55
_cell_angle_gamma 87.32
_space_group_name_H-M_alt 'P 1'
_space_group_IT_number 1
loop_
_space_group_symop_operation_xyz
'x,y,z'
loop_
_atom_site_label
_atom_site_type_symbol
_atom_site_fract_x
_atom_site_fract_y
_atom_site_fract_z
Ba1 Ba 0.440 0.311 0.297
Ba2 Ba 0.763 0.704 0.586
Bi1 Bi 0.426 0.856 0.080
Bi2 Bi 0.123 0.167 0.796
O1 O 0.245 0.451 0.640
O2 O 0.948 0.087 0.579
O3 O 0.975 0.564 0.226
O4 O 0.673 0.694 0.275
O5 O 0.274 0.974 0.538
O6 O 0.633 0.192 0.982
# total magnetic moment: 0.000 μB per cell
# uncorrected energy: -5.44 eV per atom
# formation energy without anion corrections: -1305 meV/atom



Entry 4:
# PC5 (PBE, optimized geometry)
data_PC5
_cell_length_a 2.419
_cell_length_b 2.419
_cell_length_c 7.599
_cell_angle_alpha 90.00
_cell_angle_beta 90.00
_cell_angle_gamma 90.00
_space_group_name_H-M_alt 'P 1'
_space_group_IT_number 1
loop_
_space_group_symop_operation_xyz
'x,y,z'
loop_
_atom_site_label
_atom_site_type_symbol
_atom_site_fract_x
_atom_site_fract_y
_atom_site_fract_z
P1 P 0.500 0.500 0.000
C1 C 0.000 0.000 0.684
C2 C 0.000 0.000 0.316
C3 C 0.500 0.500 0.750
C4 C 0.500 0.500 0.250
C5 C 0.000 0.000 0.500
# E above lowest polymorph: 1.126 eV/atom
# energy of formation from the pure elements: 1888 meV/atom
# total magnetic moment: 0.000 μB per cell
# uncorrected energy: -6.70 eV per atom



Entry 5:
# ScHRh3 (PBE, optimized geometry)
data_ScHRh3
_cell_length_a 4.567
_cell_length_b 5.631
_cell_length_c 4.955
_cell_angle_alpha 90.00
_cell_angle_beta 91.08
_cell_angle_gamma 90.00
_space_group_name_H-M_alt 'P 1'
_space_group_IT_number 1
loop_
_space_group_symop_operation_xyz
'x,y,z'
loop_
_atom_site_label
_atom_site_type_symbol
_atom_site_fract_x
_atom_site_fract_y
_atom_site_fract_z
Sc1 Sc 0.243 0.250 0.343
Sc2 Sc 0.757 0.750 0.657
H1 H 0.551 0.250 0.011
H2 H 0.449 0.750 0.989
Rh1 Rh 0.752 0.994 0.166
Rh2 Rh 0.248 0.006 0.834
Rh3 Rh 0.752 0.506 0.166
Rh4 Rh 0.248 0.494 0.834
Rh5 Rh 0.753 0.250 0.673
Rh6 Rh 0.247 0.750 0.327
# E above lowest polymorph: 0.099 eV/atom
# total magnetic moment: 0.000 μB per cell
# uncorrected energy: -6.82 eV per atom



Entry 6:
# Li3B8C8 (PBE, optimized geometry)
data_Li3B8C8
_cell_length_a 8.746
_cell_length_b 8.822
_cell_length_c 2.714
_cell_angle_alpha 90.00
_cell_angle_beta 90.00
_cell_angle_gamma 117.10
_space_group_name_H-M_alt 'P 1'
_space_group_IT_number 1
loop_
_space_group_symop_operation_xyz
'x,y,z'
loop_
_atom_site_label
_atom_site_type_symbol
_atom_site_fract_x
_atom_site_fract_y
_atom_site_fract_z
C1 C 0.521 0.799 0.000
C2 C 0.470 0.199 0.000
C3 C 0.051 0.292 0.000
C4 C 0.964 0.712 0.000
C5 C 0.320 0.509 0.500
C6 C 0.193 0.981 0.500
C7 C 0.787 0.052 0.500
C8 C 0.712 0.458 0.500
B1 B 0.277 0.060 0.000
B2 B 0.696 0.964 0.000
B3 B 0.789 0.547 0.000
B4 B 0.246 0.431 0.000
B5 B 0.046 0.795 0.500
B6 B 0.450 0.707 0.500
B7 B 0.548 0.281 0.500
B8 B 0.964 0.218 0.500
Li1 Li 0.461 0.977 0.500
Li2 Li 0.985 0.997 0.000
Li3 Li 0.773 0.271 0.000
# E above lowest polymorph: 0.095 eV/atom
# energy of formation from the pure elements: 102 meV/atom
# total magnetic moment: 0.000 μB per cell
# uncorrected energy: -6.90 eV per atom



Entry 7:
# La5TmAg6 (PBE, optimized geometry)
data_La5TmAg6
_cell_length_a 5.362
_cell_length_b 7.518
_cell_length_c 8.514
_cell_angle_alpha 90.00
_cell_angle_beta 71.65
_cell_angle_gamma 90.00
_space_group_name_H-M_alt 'P 1'
_space_group_IT_number 1
loop_
_space_group_symop_operation_xyz
'x,y,z'
loop_
_atom_site_label
_atom_site_type_symbol
_atom_site_fract_x
_atom_site_fract_y
_atom_site_fract_z
Tm1 Tm 0.000 0.000 0.000
Ag1 Ag 0.841 0.761 0.317
Ag2 Ag 0.841 0.239 0.317
Ag3 Ag 0.500 0.235 0.000
Ag4 Ag 0.500 0.765 0.000
Ag5 Ag 0.159 0.761 0.683
Ag6 Ag 0.159 0.239 0.683
La1 La 0.671 0.500 0.658
La2 La 0.334 0.000 0.332
La3 La 0.000 0.500 0.000
La4 La 0.666 0.000 0.668
La5 La 0.329 0.500 0.342
# energy of formation from the pure elements: -265 meV/atom
# total magnetic moment: 0.022 μB per cell
# uncorrected energy: -4.12 eV per atom



Entry 8:
# DyGa5Rh2 (PBE, optimized geometry)
data_DyGa5Rh2
_cell_length_a 3.778
_cell_length_b 6.515
_cell_length_c 6.515
_cell_angle_alpha 70.24
_cell_angle_beta 73.14
_cell_angle_gamma 73.14
_space_group_name_H-M_alt 'P 1'
_space_group_IT_number 1
loop_
_space_group_symop_operation_xyz
'x,y,z'
loop_
_atom_site_label
_atom_site_type_symbol
_atom_site_fract_x
_atom_site_fract_y
_atom_site_fract_z
Dy1 Dy 0.000 0.000 0.000
Ga1 Ga 0.000 0.500 0.500
Ga2 Ga 0.645 0.554 0.156
Ga3 Ga 0.355 0.446 0.844
Ga4 Ga 0.355 0.844 0.446
Ga5 Ga 0.645 0.156 0.554
Rh1 Rh 0.753 0.747 0.747
Rh2 Rh 0.247 0.253 0.253
# energy of formation from the pure elements: -585 meV/atom
# total magnetic moment: 0.000 μB per cell
# uncorrected energy: -4.89 eV per atom



Entry 9:
# SrBr (PBE, optimized geometry)
data_SrBr
_cell_length_a 4.198
_cell_length_b 14.124
_cell_length_c 7.780
_cell_angle_alpha 90.00
_cell_angle_beta 90.00
_cell_angle_gamma 90.00
_space_group_name_H-M_alt 'P 1'
_space_group_IT_number 1
loop_
_space_group_symop_operation_xyz
'x,y,z'
loop_
_atom_site_label
_atom_site_type_symbol
_atom_site_fract_x
_atom_site_fract_y
_atom_site_fract_z
Sr1 Sr 0.000 0.217 0.709
Sr2 Sr 0.000 0.783 0.709
Sr3 Sr 0.000 0.717 0.209
Sr4 Sr 0.000 0.283 0.209
Sr5 Sr 0.500 0.000 0.050
Sr6 Sr 0.500 0.500 0.550
Br1 Br 0.500 0.651 0.903
Br2 Br 0.500 0.349 0.903
Br3 Br 0.500 0.151 0.403
Br4 Br 0.500 0.849 0.403
Br5 Br 0.000 0.000 0.724
Br6 Br 0.000 0.500 0.224
# total magnetic moment: 2.028 μB per cell
# uncorrected energy: -3.04 eV per atom
# formation energy without anion corrections: -1358 meV/atom



Entry 10:
# SrZnCdP2 (PBE, optimized geometry)
data_SrZnCdP2
_cell_length_a 4.196
_cell_length_b 7.096
_cell_length_c 8.530
_cell_angle_alpha 78.77
_cell_angle_beta 75.76
_cell_angle_gamma 72.80
_space_group_name_H-M_alt 'P 1'
_space_group_IT_number 1
loop_
_space_group_symop_operation_xyz
'x,y,z'
loop_
_atom_site_label
_atom_site_type_symbol
_atom_site_fract_x
_atom_site_fract_y
_atom_site_fract_z
Sr1 Sr 0.806 0.743 0.644
Sr2 Sr 0.194 0.257 0.356
Zn1 Zn 0.061 0.096 0.781
Zn2 Zn 0.939 0.904 0.219
Cd1 Cd 0.369 0.355 0.907
Cd2 Cd 0.631 0.645 0.093
P1 P 0.420 0.794 0.367
P2 P 0.580 0.206 0.633
P3 P 0.836 0.244 0.084
P4 P 0.164 0.756 0.916
# energy of formation from the pure elements: -532 meV/atom
# total magnetic moment: 0.000 μB per cell
# uncorrected energy: -3.47 eV per atom



Entry 11:
# Rb2BaRhBr6 (PBE, optimized geometry)
data_Rb2BaRhBr6
_cell_length_a 7.984
_cell_length_b 7.984
_cell_length_c 8.213
_cell_angle_alpha 60.92
_cell_angle_beta 60.92
_cell_angle_gamma 90.00
_space_group_name_H-M_alt 'P 1'
_space_group_IT_number 1
loop_
_space_group_symop_operation_xyz
'x,y,z'
loop_
_atom_site_label
_atom_site_type_symbol
_atom_site_fract_x
_atom_site_fract_y
_atom_site_fract_z
Br1 Br 0.263 0.263 0.474
Br2 Br 0.737 0.737 0.526
Br3 Br 0.277 0.277 0.000
Br4 Br 0.723 0.723 0.000
Br5 Br 0.723 0.277 0.000
Br6 Br 0.277 0.723 0.000
Rh1 Rh 0.500 0.500 0.000
Ba1 Ba 0.000 0.000 0.000
Rb1 Rb 0.750 0.250 0.500
Rb2 Rb 0.250 0.750 0.500
# total magnetic moment: 1.000 μB per cell
# uncorrected energy: -3.44 eV per atom
# formation energy without anion corrections: -1312 meV/atom



Entry 12:
# YGa2Pt6 (PBE, optimized geometry)
data_YGa2Pt6
_cell_length_a 7.991
_cell_length_b 7.991
_cell_length_c 7.991
_cell_angle_alpha 60.00
_cell_angle_beta 60.00
_cell_angle_gamma 60.00
_space_group_name_H-M_alt 'P 1'
_space_group_IT_number 1
loop_
_space_group_symop_operation_xyz
'x,y,z'
loop_
_atom_site_label
_atom_site_type_symbol
_atom_site_fract_x
_atom_site_fract_y
_atom_site_fract_z
Y1 Y 0.500 0.500 0.500
Y2 Y 0.750 0.750 0.750
Ga1 Ga 0.125 0.125 0.125
Ga2 Ga 0.125 0.625 0.125
Ga3 Ga 0.125 0.125 0.625
Ga4 Ga 0.625 0.125 0.125
Pt1 Pt 0.253 0.253 0.747
Pt2 Pt 0.747 0.747 0.253
Pt3 Pt 0.253 0.747 0.253
Pt4 Pt 0.253 0.747 0.747
Pt5 Pt 0.503 0.503 0.997
Pt6 Pt 0.503 0.997 0.997
Pt7 Pt 0.747 0.253 0.747
Pt8 Pt 0.997 0.997 0.503
Pt9 Pt 0.503 0.997 0.503
Pt10 Pt 0.997 0.503 0.503
Pt11 Pt 0.747 0.253 0.253
Pt12 Pt 0.997 0.503 0.997
# energy of formation from the pure elements: -424 meV/atom
# total magnetic moment: 0.000 μB per cell
# uncorrected energy: -5.84 eV per atom